Below is a relaxed structure of Li2CeAg2Sn2, with properties calculated at the GGA-PBE level.

**Symmetry**: No. 12
**DFT total energy**: -26.1 eV per cell
**Crystal system**: monoclinic

a = 4.8179 Å, b = 4.8287 Å, c = 7.9052 Å
α = 107.38°, β = 90.00°, γ = 119.93°
Site moments in Bohr magnetons follow the coordinates.
Atoms (fractional coordinates):
Li 0.1441 0.2881 0.4352  0.00
Sn 0.5798 0.1596 0.7338  0.00
Sn 0.4202 0.8404 0.2662  0.00
Ce 0.0000 0.0000 0.0000  0.78
Ag 0.2647 0.5294 0.7894  0.01
Ag 0.7353 0.4706 0.2106  0.01
Li 0.8559 0.7119 0.5648  0.00